Entry 1:
Here is a relaxed ZnCo crystal from the Alexandria database. Energies are from PBE.

Cell lengths 2.5388, 2.5388, 3.9020 Å; angles 90.00, 90.00, 101.68 degrees
Last column: magnetic moment on the atom in μB.
Atoms (fractional coordinates):
Co: 0.0000 0.0000 0.0000  1.38
Zn: 0.5000 0.5000 0.5000  -0.04

Computed properties:
Energy of formation (eV per atom): 0.05
Symmetry: Cmmm

***

Entry 2:
Here is a relaxed ZnCo2 crystal from the Alexandria database. Energies are from PBE.

Cell lengths 3.2587, 3.2587, 4.0102 Å; angles 90.00, 90.00, 90.00 degrees
Last column: magnetic moment on the atom in μB.
Atoms (fractional coordinates):
Co: 0.0000 0.5000 0.5000  1.65
Co: 0.5000 0.0000 0.5000  1.65
Zn: 0.0000 0.0000 0.0000  -0.04

Computed properties:
Energy of formation (eV per atom): 0.41
Symmetry: P4/mmm

***

Entry 3:
Here is a relaxed Zn2Co crystal from the Alexandria database. Energies are from PBE.

Cell lengths 3.9972, 4.0017, 3.9980 Å; angles 120.03, 119.92, 90.00 degrees
Atoms (fractional coordinates):
Co: 0.0000 0.0000 0.0000
Zn: 0.2503 0.7498 0.4995
Zn: 0.7497 0.2502 0.5005

Computed properties:
Energy of formation (eV per atom): 0.26
Symmetry: Fm-3m

***

Entry 4:
Here is a relaxed ZnCo crystal from the Alexandria database. Energies are from PBE.

Cell lengths 7.8492, 7.8492, 3.4163 Å; angles 90.00, 90.00, 90.00 degrees
Last column: magnetic moment on the atom in μB.
Atoms (fractional coordinates):
Zn: 0.6631 0.6631 0.5000  -0.04
Zn: 0.3369 0.6631 0.5000  -0.04
Zn: 0.8369 0.8369 0.0000  -0.04
Co: 0.1554 0.5000 0.0000  1.19
Co: 0.8446 0.5000 0.0000  1.19
Zn: 0.6631 0.3369 0.5000  -0.04
Co: 0.6554 0.0000 0.5000  1.19
Zn: 0.8369 0.1631 0.0000  -0.04
Co: 0.0000 0.6554 0.5000  1.19
Zn: 0.1631 0.1631 0.0000  -0.04
Zn: 0.1631 0.8369 0.0000  -0.04
Co: 0.0000 0.3446 0.5000  1.19
Co: 0.3446 0.0000 0.5000  1.19
Co: 0.5000 0.8446 0.0000  1.19
Co: 0.5000 0.1554 0.0000  1.19
Zn: 0.3369 0.3369 0.5000  -0.04

Computed properties:
Energy of formation (eV per atom): 0.11
Symmetry: I4/mmm

***

Entry 5:
Here is a relaxed ZnCo2 crystal from the Alexandria database. Energies are from PBE.

Cell lengths 4.6301, 4.6301, 4.6301 Å; angles 104.68, 104.68, 119.56 degrees
Last column: magnetic moment on the atom in μB.
Atoms (fractional coordinates):
Zn: 0.7500 0.7500 0.0000  -0.06
Co: 0.6398 0.1398 0.7796  1.59
Co: 0.8602 0.6398 0.5000  1.59
Co: 0.1398 0.3602 0.5000  1.59
Co: 0.3602 0.8602 0.2204  1.59
Zn: 0.2500 0.2500 0.0000  -0.06

Computed properties:
Energy of formation (eV per atom): 0.30
Symmetry: I4/mcm

***

Entry 6:
Here is a relaxed Zn5Co crystal from the Alexandria database. Energies are from PBE.

Cell lengths 2.9744, 2.9744, 9.4592 Å; angles 90.00, 90.00, 90.00 degrees
Last column: magnetic moment on the atom in μB.
Atoms (fractional coordinates):
Zn: 0.0000 0.0000 0.1403  -0.01
Zn: 0.5000 0.5000 0.3155  0.01
Zn: 0.0000 0.0000 0.5000  0.00
Co: 0.5000 0.5000 0.0000  0.54
Zn: 0.0000 0.0000 0.8597  -0.01
Zn: 0.5000 0.5000 0.6845  0.01

Computed properties:
Energy of formation (eV per atom): 0.02
Symmetry: P4/mmm

***

energy of formation of number 5 (ZnCo2)?
0.30 eV per atom

***

Copy entry 1 word for word.
Here is a relaxed ZnCo crystal from the Alexandria database. Energies are from PBE.

Cell lengths 2.5388, 2.5388, 3.9020 Å; angles 90.00, 90.00, 101.68 degrees
Last column: magnetic moment on the atom in μB.
Atoms (fractional coordinates):
Co: 0.0000 0.0000 0.0000  1.38
Zn: 0.5000 0.5000 0.5000  -0.04

Computed properties:
Energy of formation (eV per atom): 0.05
Symmetry: Cmmm